# 1
Entry from the Alexandria database: crystalline ScInTe3 at its relaxed geometry (PBE).

Summary:
ΔE to the lowest computed polymorph in meV/atom: 1010
Magnetic moment in μB per formula unit: 0.0
Uncorrected energy in eV for the cell shown: -17.2
Fermi-level density of states in states/eV per cell: 4.17

abc: 5.588 5.588 5.588
angles: 90.00 90.00 90.00
Element x y z (fractional)
Sc 0.000 0.000 0.000
In 0.500 0.500 0.500
Te 0.000 0.500 0.500
Te 0.500 0.000 0.500
Te 0.500 0.500 0.000

---

# 2
Entry from the Alexandria database: crystalline KErSnSe3 at its relaxed geometry (PBE).

Summary:
Magnetic moment in μB per formula unit: 0.0
Uncorrected energy in eV for the cell shown: -54.3

abc: 8.768 8.768 11.742
angles: 90.00 90.00 153.03
Element x y z (fractional)
K 0.181 0.819 0.750
K 0.819 0.181 0.250
Er 0.500 0.500 0.000
Er 0.500 0.500 0.500
Sn 0.119 0.881 0.250
Sn 0.881 0.119 0.750
Se 0.114 0.886 0.001
Se 0.114 0.886 0.499
Se 0.491 0.509 0.750
Se 0.509 0.491 0.250
Se 0.886 0.114 0.501
Se 0.886 0.114 0.999

---

# 3
Entry from the Alexandria database: crystalline KErIn2Cl6 at its relaxed geometry (PBE).

Summary:
Magnetic moment in μB per formula unit: 0.0
Uncorrected energy in eV for the cell shown: -38.8
Fermi-level density of states in states/eV per cell: 0.00

abc: 7.926 7.926 7.926
angles: 58.66 58.66 58.66
Element x y z (fractional)
K 0.000 0.000 0.000
Er 0.507 0.507 0.507
In 0.211 0.211 0.211
In 0.715 0.715 0.715
Cl 0.186 0.375 0.750
Cl 0.313 0.842 0.623
Cl 0.375 0.750 0.186
Cl 0.623 0.313 0.842
Cl 0.750 0.186 0.375
Cl 0.842 0.623 0.313

---

# 4
Entry from the Alexandria database: crystalline Mg2RePb at its relaxed geometry (PBE).

Summary:
Magnetic moment in μB per formula unit: 0.9
Uncorrected energy in eV for the cell shown: -17.8
Fermi-level density of states in states/eV per cell: 2.79
Formation energy from the elements in eV per atom: 0.39

abc: 2.999 2.999 9.289
angles: 90.00 90.00 90.00
Element x y z (fractional)
Mg 0.000 0.000 0.205
Mg 0.000 0.000 0.795
Re 0.500 0.500 0.000
Pb 0.500 0.500 0.500